# Zr2ZnGaOs (PBE, relaxed)
# **VASP energy**: -5.69 eV/atom
# **Symmetry**: P4/mmm, No. 123
# **Energy relative to the elements**: 0.839 eV/atom
# **Crystal system**: tetragonal
data_Zr2ZnGaOs
_symmetry_space_group_name_H-M 'P 1'
_symmetry_Int_Tables_number 1
_cell_length_a 4.9260
_cell_length_b 4.9260
_cell_length_c 4.2354
_cell_angle_alpha 90.00
_cell_angle_beta 90.00
_cell_angle_gamma 90.00
loop_
_symmetry_equiv_pos_as_xyz
'x,y,z'
loop_
_atom_site_label
_atom_site_fract_x
_atom_site_fract_y
_atom_site_fract_z
Zr1 0.0000 0.5000 0.0000
Zr2 0.5000 0.0000 0.0000
Zn1 0.0000 0.0000 0.0000
Ga1 0.0000 0.0000 0.5000
Os1 0.5000 0.5000 0.5000